The following is a DFT calculation (GGA+U) of a geometry-optimized ScMnF2 structure.

Unit cell a=4.325 b=4.325 c=4.325 alpha=60.00 beta=60.00 gamma=60.00
Last column: magnetic moment on the atom in μB.
Positions (direct):
Mn 0.500 0.500 0.500  4.45
F 0.750 0.750 0.750  0.07
F 0.250 0.250 0.250  0.07
Sc 0.000 0.000 0.000  -0.73

offset from the most stable computed form = 609 meV/atom
crystal system = cubic
total energy = -5.740 eV/atom
volume = 14.3 Å³/atom
magnetization = 4.0 Bohr magnetons per cell